La2DyRh | PBE-GGA | relaxed

Results
Energy above the most stable polymorph in this dataset ... 15.6 kJ per mole of atoms
Calculated total energy ... -5.7503 eV per atom
ΔE_f ... -115 kJ/mol of formula units
Total magnetization ... 0.76 μB/f.u.
SG ... R3m, No. 160

abc: 3.9788 3.9788 9.6737
angles: 78.13 78.13 60.00
Last column: nearest neighbours and their distance in Å.
Fractional positions:
La (0.2729, 0.2729, 0.1812)  3 Rh 2.85
Dy (0.5003, 0.5003, 0.4991)  6 La 3.77-3.78, 6 Dy 3.98
La (0.0606, 0.0606, 0.8183)  3 Rh 2.87
Rh (0.6662, 0.6662, 0.0013)  6 La 2.85-2.87